Entry from the Alexandria database: a relaxed structure of HoZrCr2O6 (GGA+U).

abc: 5.342 5.442 5.690
angles: 63.12 89.92 61.00
Space group P1 (No. 1)
Unique sites:
Ho  0.000  0.000  0.000 [1 per cell]
Zr  0.516  0.977  0.530 [1 per cell]
Cr  0.217  0.570  0.628 [1 per cell]
Cr  0.723  0.553  0.152 [1 per cell]
O  0.141  0.027  0.365 [1 per cell]
O  0.322  0.108  0.820 [1 per cell]
O  0.432  0.450  0.357 [1 per cell]
O  0.583  0.490  0.841 [1 per cell]
O  0.829  0.748  0.355 [1 per cell]
O  0.930  0.728  0.841 [1 per cell]

Values from the calculation:
**Total magnetic moment**: 7.0 μB/cell
**E**: -84.570 eV per formula unit